[1]
Sc2MnBe4Si3: relaxed, PBE.

Formation energy from raw total energies in eV/atom: -0.37

POSCAR file:
```
Sc2MnBe4Si3
1.0
3.632 0.000 0.000
0.000 3.632 0.000
0.000 0.000 9.854
Mn Si Be Sc
1 3 4 2
Cartesian
1.816 1.816 4.927
1.816 0.000 8.491
0.000 1.816 1.362
0.000 0.000 4.927
1.816 1.816 0.000
0.000 0.000 0.000
0.000 1.816 3.532
1.816 0.000 6.321
0.000 1.816 7.396
1.816 0.000 2.458
```

***

[2]
ScMnBeSi2: relaxed, PBE.

Formation energy from raw total energies in eV/atom: -0.47

POSCAR file:
```
ScMnBeSi2
1.0
3.681 0.000 0.000
0.000 3.681 0.000
-1.840 -1.840 5.176
Mn Si Sc Be
1 2 1 1
Cartesian
1.840 0.000 2.588
1.840 1.840 1.170
0.000 0.000 4.005
0.000 0.000 0.000
0.000 1.840 2.588
```

***

[3]
ScMnBe2W: relaxed, PBE.

ΔE_f in eV per atom: 1.824

POSCAR file:
```
ScMnBe2W
1.0
4.272 0.000 0.000
0.000 3.992 0.000
0.000 0.000 4.272
Mn W Sc Be
1 1 1 2
Cartesian
0.000 1.996 0.000
2.136 1.996 2.136
0.000 0.000 0.000
2.136 0.000 0.000
0.000 0.000 2.136
```

***

[4]
Mn2BeSe: relaxed, PBE.

Formation energy from raw total energies in eV/atom: 0.18

POSCAR file:
```
Mn2BeSe
1.0
-1.072 2.364 1.696
-0.741 -1.970 2.277
5.026 0.681 2.226
Mn Se Be
2 1 1
Cartesian
4.945 0.671 2.190
2.593 0.352 1.149
0.350 0.367 2.543
2.863 0.708 3.656
```

***

[5]
MnBe2Se: relaxed, PBE.

Formation energy from raw total energies in eV/atom: 0.17

POSCAR file:
```
MnBe2Se
1.0
3.613 0.000 0.000
0.000 2.671 -0.056
0.000 -1.224 5.407
Se Be Mn
1 2 1
Cartesian
1.807 1.255 4.142
1.807 -0.139 1.423
0.000 2.510 0.247
0.000 1.214 2.159
```

***

[6]
MnBe2Se: relaxed, PBE.

Formation energy from raw total energies in eV/atom: 0.25

POSCAR file:
```
MnBe2Se
1.0
3.899 -0.012 0.000
-0.888 3.796 0.000
0.000 0.000 3.251
Be Mn Se
2 1 1
Cartesian
0.000 0.000 0.000
1.505 1.892 0.000
1.950 -0.006 1.626
-0.444 1.898 1.626
```

***

[7]
MnBe2Se: relaxed, PBE.

Formation energy from raw total energies in eV/atom: 0.50

POSCAR file:
```
MnBe2Se
1.0
8.180 0.148 0.087
7.691 2.789 0.087
7.691 1.423 2.400
Be Se Mn
2 1 1
Cartesian
23.277 4.307 2.543
12.068 2.233 1.319
17.672 3.270 1.931
5.891 1.090 0.644
```

***

[8]
MnBe2Se: relaxed, PBE.

Formation energy from raw total energies in eV/atom: 0.13

POSCAR file:
```
MnBe2Se
1.0
3.092 0.000 0.000
0.000 3.094 0.000
0.000 0.000 4.634
Se Mn Be
1 1 2
Cartesian
1.546 1.547 3.476
1.546 1.547 1.159
0.000 0.000 2.202
0.000 0.000 0.115
```

***

[9]
MnBe2Se: relaxed, PBE.

Formation energy from raw total energies in eV/atom: 0.18

POSCAR file:
```
MnBe2Se
1.0
3.278 0.000 0.000
0.000 3.286 -0.061
0.000 0.101 5.041
Be Mn Se
2 1 1
Cartesian
0.000 2.470 0.209
0.000 2.508 2.220
1.639 0.847 1.245
1.639 2.540 3.735
```

***

[10]
MnBeSe3: relaxed, PBE.

Formation energy from raw total energies in eV/atom: 0.82

POSCAR file:
```
MnBeSe3
1.0
4.511 0.000 0.000
0.000 4.511 0.000
0.000 0.000 4.511
Mn Be Se
1 1 3
Cartesian
2.255 2.255 2.255
0.000 0.000 0.000
2.255 0.000 0.000
0.000 0.000 2.255
0.000 2.255 0.000
```

***

[11]
MnBe2Se: relaxed, PBE.

Formation energy from raw total energies in eV/atom: 0.33

POSCAR file:
```
MnBe2Se
1.0
2.699 -0.004 0.000
0.005 2.699 0.000
0.000 0.000 7.899
Mn Be Se
1 2 1
Cartesian
0.000 0.000 3.520
0.000 0.000 0.924
1.352 1.348 1.964
1.352 1.348 5.440
```

***

[12]
Mn3BeSe: relaxed, PBE.

Formation energy from raw total energies in eV/atom: 0.45

POSCAR file:
```
Mn3BeSe
1.0
4.240 0.000 0.000
0.000 4.240 0.000
0.000 0.000 4.240
Se Mn Be
1 3 1
Cartesian
2.120 2.120 2.120
0.000 0.000 2.120
0.000 2.120 0.000
2.120 0.000 0.000
0.000 0.000 0.000
```

***

[13]
MnBe2Se: relaxed, PBE.

Formation energy from raw total energies in eV/atom: 0.20

POSCAR file:
```
MnBe2Se
1.0
-1.961 -3.809 -1.762
-0.541 -3.574 2.896
-0.949 4.534 0.062
Be Mn Se
2 1 1
Cartesian
0.000 0.000 0.000
-2.080 -1.484 -0.567
-1.251 -3.691 0.567
-1.370 -1.366 1.763
```

***

[14]
MnBe3Se: relaxed, PBE.

Formation energy from raw total energies in eV/atom: 1.42

POSCAR file:
```
MnBe3Se
1.0
4.168 0.000 0.000
0.000 4.168 0.000
0.000 0.000 4.168
Se Be Mn
1 3 1
Cartesian
0.000 0.000 0.000
0.000 2.084 0.000
0.000 0.000 2.084
2.084 0.000 0.000
2.084 2.084 2.084
```

***

[15]
Mn2BeSe: relaxed, PBE.

Formation energy from raw total energies in eV/atom: 0.37

POSCAR file:
```
Mn2BeSe
1.0
-1.706 -2.822 1.473
2.514 -2.220 -1.341
4.868 -1.625 6.954
Se Mn Be
2 4 2
Cartesian
1.783 -3.484 4.247
0.000 0.000 0.000
4.344 -5.618 5.340
0.474 -2.432 2.484
3.968 -3.121 5.258
2.566 -2.162 1.093
3.893 -3.183 2.840
0.404 -2.521 0.066
```

***

[16]
MnBe2Se: relaxed, PBE.

Formation energy from raw total energies in eV/atom: 0.35

POSCAR file:
```
MnBe2Se
1.0
-0.447 2.501 -0.648
-1.410 0.313 2.189
6.855 2.284 4.090
Be Se Mn
2 1 1
Cartesian
2.835 0.945 1.692
0.592 0.197 0.353
4.213 3.120 3.838
0.785 1.978 1.793
```

***

[17]
Mn2BeSe: relaxed, PBE.

Formation energy from raw total energies in eV/atom: 0.37

POSCAR file:
```
Mn2BeSe
1.0
7.744 -0.026 -0.015
7.244 2.738 -0.015
7.244 1.311 2.404
Mn Be Se
2 1 1
Cartesian
0.027 0.005 0.003
5.547 1.004 0.592
16.551 2.995 1.767
11.219 2.031 1.198
```

***

[18]
MnBe2Se: relaxed, PBE.

Formation energy from raw total energies in eV/atom: 0.25

POSCAR file:
```
MnBe2Se
1.0
3.429 0.000 0.000
0.000 4.170 0.000
0.000 0.000 3.301
Be Se Mn
2 1 1
Cartesian
1.714 2.085 0.000
0.000 0.000 0.000
0.000 2.085 1.651
1.714 0.000 1.651
```

***

[19]
Mn4BeSe: relaxed, PBE.

Formation energy from raw total energies in eV/atom: 0.53

POSCAR file:
```
Mn4BeSe
1.0
-2.875 -0.232 3.741
-4.682 -0.091 -0.621
-2.422 -3.960 0.875
Mn Be Se
4 1 1
Cartesian
-3.731 -1.601 1.494
-4.953 -3.598 1.935
-5.181 -1.718 3.381
-6.092 -1.647 1.181
0.000 0.000 0.000
-7.484 -3.212 2.997
```

***

[20]
MnBe4Se: relaxed, PBE.

Formation energy from raw total energies in eV/atom: 0.16

POSCAR file:
```
MnBe4Se
1.0
-4.118 -0.639 1.213
-2.826 3.292 -0.094
-3.169 0.056 -2.965
Be Mn Se
4 1 1
Cartesian
-5.202 2.632 -0.743
-3.821 1.024 -0.698
-5.833 0.711 -0.105
-5.369 1.051 -2.146
-7.584 2.032 -1.385
0.000 0.000 0.000
```

***

[21]
Mn2BeSe: relaxed, PBE.

Formation energy from raw total energies in eV/atom: 0.23

POSCAR file:
```
Mn2BeSe
1.0
5.939 -0.004 -0.010
-2.288 3.502 0.003
1.364 1.002 2.449
Mn Be Se
2 1 1
Cartesian
0.000 0.000 0.000
3.651 0.499 1.219
1.826 1.749 -0.004
-0.462 2.252 1.226
```

***

[22]
MnBe2Se: relaxed, PBE.

Formation energy from raw total energies in eV/atom: 0.37

POSCAR file:
```
MnBe2Se
1.0
6.636 0.000 0.000
0.000 6.636 0.000
3.318 3.318 2.462
Be Mn Se
4 2 2
Cartesian
4.977 4.757 1.846
8.295 8.515 1.846
1.439 4.977 0.615
5.197 1.659 0.615
3.318 6.636 1.231
3.318 3.318 0.000
0.000 0.000 0.000
6.636 3.318 1.231
```

***

[23]
Mn2BeSe: relaxed, PBE.

Formation energy from raw total energies in eV/atom: 0.18

POSCAR file:
```
Mn2BeSe
1.0
-2.783 -0.425 -0.364
0.502 -2.713 -0.665
-0.611 -1.765 6.742
Se Mn Be
1 2 1
Cartesian
-0.256 -0.739 2.824
-1.279 -1.969 1.014
-0.003 -0.008 0.029
-1.660 -3.070 5.217
```

***

[24]
Mn2BeSe: relaxed, PBE.

Formation energy from raw total energies in eV/atom: 0.16

POSCAR file:
```
Mn2BeSe
1.0
6.092 -0.010 -0.006
5.185 3.198 -0.006
5.185 1.466 2.842
Mn Se Be
2 1 1
Cartesian
0.241 0.068 0.042
7.990 2.259 1.374
4.116 1.164 0.708
12.347 3.491 2.123
```

***

[25]
Mn2BeSe: relaxed, PBE.

Formation energy from raw total energies in eV/atom: 0.10

POSCAR file:
```
Mn2BeSe
1.0
3.416 0.000 0.000
0.000 3.342 0.037
0.000 1.734 4.737
Se Mn Be
1 2 1
Cartesian
0.000 3.130 2.311
1.708 1.459 1.317
0.000 4.879 4.496
1.708 3.221 3.810
```

***

[26]
Mn2BeSe: relaxed, PBE.

Formation energy from raw total energies in eV/atom: 0.21

POSCAR file:
```
Mn2BeSe
1.0
-4.241 -0.476 -0.192
-2.627 -2.815 -1.851
-1.065 -2.768 2.865
Se Mn Be
1 2 1
Cartesian
-1.983 -1.515 0.206
-1.087 -2.747 2.813
-3.944 -3.052 0.463
-5.950 -4.545 0.617
```

***

[27]
Mn2BeSe: relaxed, PBE.

Formation energy from raw total energies in eV/atom: 0.20

POSCAR file:
```
Mn2BeSe
1.0
4.393 0.000 -0.005
1.184 4.231 0.005
-2.459 -2.550 2.598
Be Mn Se
1 2 1
Cartesian
0.757 1.898 1.302
2.670 2.025 0.000
0.119 0.090 0.000
2.362 -0.217 1.297
```

***

[28]
Mn2BeSe: relaxed, PBE.

Formation energy from raw total energies in eV/atom: 0.38

POSCAR file:
```
Mn2BeSe
1.0
-0.472 -3.593 1.905
2.634 -3.053 -0.706
2.645 -1.136 2.911
Mn Be Se
2 1 1
Cartesian
1.202 -1.945 1.027
0.000 0.000 0.000
2.404 -3.891 2.055
3.606 -5.836 3.082
```

***

[29]
MnBeSe4: relaxed, PBE.

Formation energy from raw total energies in eV/atom: 0.93

POSCAR file:
```
MnBeSe4
1.0
-1.494 -5.356 -0.996
-5.429 -1.305 -0.856
-1.759 -1.531 -5.145
Se Be Mn
4 1 1
Cartesian
-3.260 -3.076 -2.627
-5.964 -3.726 -3.053
-4.004 -5.744 -3.123
-4.136 -3.839 -5.190
-6.512 -6.144 -5.247
0.000 0.000 0.000
```

***

How do the records compare in spin magnetization? In the order shown, they have 0.242, 0.485, 0.285, 1.597, 0.625, 0.660, 0.372, 0.213, 0.793, 0.001, 0.787, 2.200, 0.657, 0.021, 1.247, 0.512, 0.299, 0.610, 0.866, 0.000, 1.313, 0.830, 0.507, 1.441, 1.596, 1.317, 1.098, 0.582, 0.780 μB per atom.
How do the records compare in total energy? In the order shown, they have -5.6690, -6.4888, -5.3577, -6.2080, -4.8571, -4.7801, -4.5286, -4.9014, -4.8429, -3.8525, -4.6998, -6.4961, -4.8232, -3.3440, -6.0134, -4.6774, -6.0224, -4.7754, -6.7863, -4.4359, -6.1576, -4.6561, -6.2100, -6.2275, -6.2843, -6.1798, -6.1877, -6.0094, -3.5421 eV/atom.